Compound: PmZr2Os
Source: Alexandria
Functional: GGA-PBE
Structure: relaxed

abc: 4.900 4.900 4.898
angles: 59.99 59.99 60.00
Atoms (fractional coordinates):
Os (0.500, 0.500, 0.500)
Zr (0.750, 0.750, 0.750)
Zr (0.250, 0.250, 0.250)
Pm (0.000, 0.000, 0.000)

## Properties
* VASP energy: -8.221 eV/atom
* energy of formation from the pure elements: 48 meV per atom
* Fermi-level density of states: 1.26 states/eV/atom